a:
Ir2PtRh | PBE | optimized geometry

Geometry as CIF:
```
data_Ir2PtRh
_cell_length_a 2.755
_cell_length_b 3.877
_cell_length_c 5.512
_cell_angle_alpha 90.00
_cell_angle_beta 90.00
_cell_angle_gamma 90.00
_symmetry_space_group_name_H-M 'P m m m'
_symmetry_Int_Tables_number 47
_symmetry_space_group_name_Hall '-P 2 2'
loop_
_atom_site_label
_atom_site_type_symbol
_atom_site_fract_x
_atom_site_fract_y
_atom_site_fract_z
_atom_site_occupancy
Ir1 Ir 0.000 0.000 0.245 1
Pt1 Pt 0.500 0.500 0.500 1
Rh1 Rh 0.500 0.500 0.000 1
```

***

b:
Ir2PtRh | PBE | optimized geometry

Geometry as CIF:
```
data_Ir2PtRh
_cell_length_a 2.750
_cell_length_b 3.870
_cell_length_c 5.530
_cell_angle_alpha 90.00
_cell_angle_beta 90.00
_cell_angle_gamma 90.00
_symmetry_space_group_name_H-M 'P m m 2'
_symmetry_Int_Tables_number 25
_symmetry_space_group_name_Hall 'P 2 -2'
loop_
_atom_site_label
_atom_site_type_symbol
_atom_site_fract_x
_atom_site_fract_y
_atom_site_fract_z
_atom_site_occupancy
Ir1 Ir 0.000 0.000 0.000 1
Ir2 Ir 0.500 0.500 0.238 1
Pt1 Pt 0.000 0.000 0.496 1
Rh1 Rh 0.500 0.500 0.752 1
```

***

c:
Ir2PtRh | PBE | optimized geometry

Geometry as CIF:
```
data_Ir2PtRh
_cell_length_a 9.115
_cell_length_b 2.753
_cell_length_c 4.763
_cell_angle_alpha 90.00
_cell_angle_beta 99.97
_cell_angle_gamma 90.00
_symmetry_space_group_name_H-M 'C 1 m 1'
_symmetry_Int_Tables_number 8
_symmetry_space_group_name_Hall 'C -2y'
loop_
_atom_site_label
_atom_site_type_symbol
_atom_site_fract_x
_atom_site_fract_y
_atom_site_fract_z
_atom_site_occupancy
Ir1 Ir 0.000 0.000 0.000 1
Ir2 Ir 0.244 0.500 0.236 1
Pt1 Pt 0.248 0.000 0.740 1
Rh1 Rh 0.493 0.000 0.488 1
```

***

Which structure is most stable? b, by 0.017 eV/atom over the runner-up.

***

a:
Ir2PtRh | PBE | optimized geometry

Geometry as CIF:
```
data_Ir2PtRh
_cell_length_a 4.731
_cell_length_b 4.731
_cell_length_c 5.382
_cell_angle_alpha 90.00
_cell_angle_beta 90.00
_cell_angle_gamma 90.00
_symmetry_space_group_name_H-M 'I 4/m m m'
_symmetry_Int_Tables_number 139
_symmetry_space_group_name_Hall '-I 4 2'
loop_
_atom_site_label
_atom_site_type_symbol
_atom_site_fract_x
_atom_site_fract_y
_atom_site_fract_z
_atom_site_occupancy
Ir1 Ir 0.000 0.500 0.250 1
Pt1 Pt 0.000 0.000 0.000 1
Rh1 Rh 0.000 0.000 0.500 1
```

***

b:
Ir2PtRh | PBE | optimized geometry

Geometry as CIF:
```
data_Ir2PtRh
_cell_length_a 6.936
_cell_length_b 6.936
_cell_length_c 5.423
_cell_angle_alpha 90.00
_cell_angle_beta 90.00
_cell_angle_gamma 90.00
_symmetry_space_group_name_H-M 'I -4 2 d'
_symmetry_Int_Tables_number 122
_symmetry_space_group_name_Hall 'I -4 2bw'
loop_
_atom_site_label
_atom_site_type_symbol
_atom_site_fract_x
_atom_site_fract_y
_atom_site_fract_z
_atom_site_occupancy
Ir1 Ir 0.243 0.250 0.125 1
Pt1 Pt 0.000 0.000 0.500 1
Rh1 Rh 0.000 0.000 0.000 1
```

***

c:
Ir2PtRh | PBE | optimized geometry

Geometry as CIF:
```
data_Ir2PtRh
_cell_length_a 5.372
_cell_length_b 9.487
_cell_length_c 2.721
_cell_angle_alpha 90.00
_cell_angle_beta 119.66
_cell_angle_gamma 90.00
_symmetry_space_group_name_H-M 'C 1 2/m 1'
_symmetry_Int_Tables_number 12
_symmetry_space_group_name_Hall '-C 2y'
loop_
_atom_site_label
_atom_site_type_symbol
_atom_site_fract_x
_atom_site_fract_y
_atom_site_fract_z
_atom_site_occupancy
Ir1 Ir 0.250 0.250 0.000 1
Pt1 Pt 0.000 0.000 0.000 1
Rh1 Rh 0.000 0.500 0.000 1
```

***

d:
Ir2PtRh | PBE | optimized geometry

Geometry as CIF:
```
data_Ir2PtRh
_cell_length_a 6.240
_cell_length_b 6.240
_cell_length_c 6.240
_cell_angle_alpha 90.00
_cell_angle_beta 90.00
_cell_angle_gamma 90.00
_symmetry_space_group_name_H-M 'F -4 3 m'
_symmetry_Int_Tables_number 216
_symmetry_space_group_name_Hall 'F -4 2 3'
loop_
_atom_site_label
_atom_site_type_symbol
_atom_site_fract_x
_atom_site_fract_y
_atom_site_fract_z
_atom_site_occupancy
Ir1 Ir 0.000 0.000 0.000 1
Ir2 Ir 0.250 0.250 0.250 1
Pt1 Pt 0.250 0.250 0.750 1
Rh1 Rh 0.000 0.000 0.500 1
```

***

Which structure is most stable? c, by 0.030 eV/atom over the runner-up.

***

a:
Ir3PtRh2 | PBE | optimized geometry

Geometry as CIF:
```
data_Ir3PtRh2
_cell_length_a 15.893
_cell_length_b 3.834
_cell_length_c 6.052
_cell_angle_alpha 90.00
_cell_angle_beta 94.58
_cell_angle_gamma 90.00
_symmetry_space_group_name_H-M 'C 1 2/m 1'
_symmetry_Int_Tables_number 12
_symmetry_space_group_name_Hall '-C 2y'
loop_
_atom_site_label
_atom_site_type_symbol
_atom_site_fract_x
_atom_site_fract_y
_atom_site_fract_z
_atom_site_occupancy
Ir1 Ir 0.073 0.000 0.118 1
Ir2 Ir 0.115 0.500 0.413 1
Ir3 Ir 0.191 0.500 0.038 1
Pt1 Pt 0.151 0.000 0.724 1
Rh1 Rh 0.037 0.500 0.795 1
Rh2 Rh 0.228 0.000 0.343 1
```

***

b:
Ir3PtRh2 | PBE | optimized geometry

Geometry as CIF:
```
data_Ir3PtRh2
_cell_length_a 5.1082
_cell_length_b 5.1082
_cell_length_c 8.9017
_cell_angle_alpha 90.00
_cell_angle_beta 90.00
_cell_angle_gamma 120.00
_symmetry_space_group_name_H-M 'P 6/m m m'
_symmetry_Int_Tables_number 191
_symmetry_space_group_name_Hall '-P 6 2'
loop_
_atom_site_label
_atom_site_type_symbol
_atom_site_fract_x
_atom_site_fract_y
_atom_site_fract_z
_atom_site_occupancy
Ir1 Ir 0.0000 0.5000 0.2451 1
Pt1 Pt 0.3333 0.6667 0.5000 1
Rh1 Rh 0.0000 0.0000 0.0000 1
Rh2 Rh 0.0000 0.0000 0.5000 1
Rh3 Rh 0.3333 0.6667 0.0000 1
```

***

Which structure is most stable? a, by 0.499 eV/atom over the runner-up.

***

a:
IrPtRh3 | PBE | optimized geometry

Geometry as CIF:
```
data_IrPtRh3
_cell_length_a 5.3582
_cell_length_b 5.3582
_cell_length_c 19.7579
_cell_angle_alpha 90.00
_cell_angle_beta 90.00
_cell_angle_gamma 120.00
_symmetry_space_group_name_H-M 'R -3 m'
_symmetry_Int_Tables_number 166
_symmetry_space_group_name_Hall '-R 3 2"'
loop_
_atom_site_label
_atom_site_type_symbol
_atom_site_fract_x
_atom_site_fract_y
_atom_site_fract_z
_atom_site_occupancy
Ir1 Ir 0.0000 0.0000 0.1122 1
Pt1 Pt 0.0000 0.0000 0.3343 1
Rh1 Rh 0.0012 0.5006 0.8899 1
```

***

b:
IrPtRh3 | PBE | optimized geometry

Geometry as CIF:
```
data_IrPtRh3
_cell_length_a 4.661
_cell_length_b 4.661
_cell_length_c 4.661
_cell_angle_alpha 90.00
_cell_angle_beta 90.00
_cell_angle_gamma 90.00
_symmetry_space_group_name_H-M 'P m -3 m'
_symmetry_Int_Tables_number 221
_symmetry_space_group_name_Hall '-P 4 2 3'
loop_
_atom_site_label
_atom_site_type_symbol
_atom_site_fract_x
_atom_site_fract_y
_atom_site_fract_z
_atom_site_occupancy
Ir1 Ir 0.000 0.000 0.000 1
Pt1 Pt 0.500 0.500 0.500 1
Rh1 Rh 0.000 0.000 0.500 1
```

***

c:
IrPtRh3 | PBE | optimized geometry

Geometry as CIF:
```
data_IrPtRh3
_cell_length_a 14.246
_cell_length_b 4.603
_cell_length_c 5.175
_cell_angle_alpha 90.00
_cell_angle_beta 111.08
_cell_angle_gamma 90.00
_symmetry_space_group_name_H-M 'C 1 2/m 1'
_symmetry_Int_Tables_number 12
_symmetry_space_group_name_Hall '-C 2y'
loop_
_atom_site_label
_atom_site_type_symbol
_atom_site_fract_x
_atom_site_fract_y
_atom_site_fract_z
_atom_site_occupancy
Ir1 Ir 0.202 0.000 0.452 1
Pt1 Pt 0.098 0.500 0.848 1
Rh1 Rh 0.004 0.000 0.254 1
Rh2 Rh 0.103 0.500 0.353 1
Rh3 Rh 0.200 0.000 0.950 1
```

***

Which structure is most stable? a, by 0.058 eV/atom over the runner-up.

***

a:
IrPt3Rh | PBE | optimized geometry

Geometry as CIF:
```
data_IrPt3Rh
_cell_length_a 5.438
_cell_length_b 7.616
_cell_length_c 16.289
_cell_angle_alpha 90.00
_cell_angle_beta 90.00
_cell_angle_gamma 90.00
_symmetry_space_group_name_H-M 'F d d 2'
_symmetry_Int_Tables_number 43
_symmetry_space_group_name_Hall 'F 2 -2d'
loop_
_atom_site_label
_atom_site_type_symbol
_atom_site_fract_x
_atom_site_fract_y
_atom_site_fract_z
_atom_site_occupancy
Ir1 Ir 0.000 0.000 0.000 1
Pt1 Pt 0.000 0.000 0.169 1
Pt2 Pt 0.000 0.000 0.667 1
Pt3 Pt 0.000 0.000 0.830 1
Rh1 Rh 0.000 0.000 0.329 1
```

***

b:
IrPt3Rh | PBE | optimized geometry

Geometry as CIF:
```
data_IrPt3Rh
_cell_length_a 4.714
_cell_length_b 4.714
_cell_length_c 4.714
_cell_angle_alpha 90.00
_cell_angle_beta 90.00
_cell_angle_gamma 90.00
_symmetry_space_group_name_H-M 'P m -3 m'
_symmetry_Int_Tables_number 221
_symmetry_space_group_name_Hall '-P 4 2 3'
loop_
_atom_site_label
_atom_site_type_symbol
_atom_site_fract_x
_atom_site_fract_y
_atom_site_fract_z
_atom_site_occupancy
Ir1 Ir 0.000 0.000 0.000 1
Pt1 Pt 0.000 0.500 0.500 1
Rh1 Rh 0.500 0.500 0.500 1
```

***

Which structure is most stable? a, by 1.683 eV/atom over the runner-up.

***

a:
IrPt3Rh4 | PBE | optimized geometry

Geometry as CIF:
```
data_IrPt3Rh4
_cell_length_a 2.704
_cell_length_b 4.717
_cell_length_c 18.937
_cell_angle_alpha 90.00
_cell_angle_beta 90.00
_cell_angle_gamma 90.00
_symmetry_space_group_name_H-M 'I m m m'
_symmetry_Int_Tables_number 71
_symmetry_space_group_name_Hall '-I 2 2'
loop_
_atom_site_label
_atom_site_type_symbol
_atom_site_fract_x
_atom_site_fract_y
_atom_site_fract_z
_atom_site_occupancy
Ir1 Ir 0.000 0.000 0.000 1
Pt1 Pt 0.000 0.000 0.248 1
Pt2 Pt 0.000 0.000 0.500 1
Rh1 Rh 0.000 0.500 0.127 1
Rh2 Rh 0.000 0.500 0.379 1
```

***

b:
IrPt3Rh4 | PBE | optimized geometry

Geometry as CIF:
```
data_IrPt3Rh4
_cell_length_a 8.701
_cell_length_b 3.886
_cell_length_c 7.799
_cell_angle_alpha 90.00
_cell_angle_beta 116.54
_cell_angle_gamma 90.00
_symmetry_space_group_name_H-M 'C 1 2/m 1'
_symmetry_Int_Tables_number 12
_symmetry_space_group_name_Hall '-C 2y'
loop_
_atom_site_label
_atom_site_type_symbol
_atom_site_fract_x
_atom_site_fract_y
_atom_site_fract_z
_atom_site_occupancy
Ir1 Ir 0.000 0.000 0.000 1
Pt1 Pt 0.000 0.000 0.500 1
Pt2 Pt 0.002 0.500 0.246 1
Rh1 Rh 0.250 0.000 0.373 1
Rh2 Rh 0.250 0.000 0.877 1
```

***

Which structure is most stable? b, by 0.156 eV/atom over the runner-up.

***

a:
IrPt2Rh2 | PBE | optimized geometry

Geometry as CIF:
```
data_IrPt2Rh2
_cell_length_a 3.542
_cell_length_b 3.542
_cell_length_c 13.012
_cell_angle_alpha 90.00
_cell_angle_beta 90.00
_cell_angle_gamma 90.00
_symmetry_space_group_name_H-M 'I 4/m m m'
_symmetry_Int_Tables_number 139
_symmetry_space_group_name_Hall '-I 4 2'
loop_
_atom_site_label
_atom_site_type_symbol
_atom_site_fract_x
_atom_site_fract_y
_atom_site_fract_z
_atom_site_occupancy
Ir1 Ir 0.000 0.000 0.000 1
Pt1 Pt 0.000 0.000 0.402 1
Rh1 Rh 0.000 0.500 0.250 1
```

***

b:
IrPt2Rh2 | PBE | optimized geometry

Geometry as CIF:
```
data_IrPt2Rh2
_cell_length_a 2.750
_cell_length_b 3.890
_cell_length_c 13.846
_cell_angle_alpha 90.00
_cell_angle_beta 90.00
_cell_angle_gamma 90.00
_symmetry_space_group_name_H-M 'I m m m'
_symmetry_Int_Tables_number 71
_symmetry_space_group_name_Hall '-I 2 2'
loop_
_atom_site_label
_atom_site_type_symbol
_atom_site_fract_x
_atom_site_fract_y
_atom_site_fract_z
_atom_site_occupancy
Ir1 Ir 0.000 0.000 0.000 1
Pt1 Pt 0.000 0.000 0.198 1
Rh1 Rh 0.000 0.000 0.404 1
```

***

c:
IrPt2Rh2 | PBE | optimized geometry

Geometry as CIF:
```
data_IrPt2Rh2
_cell_length_a 6.791
_cell_length_b 6.791
_cell_length_c 3.466
_cell_angle_alpha 90.00
_cell_angle_beta 90.00
_cell_angle_gamma 90.00
_symmetry_space_group_name_H-M 'P 4/m b m'
_symmetry_Int_Tables_number 127
_symmetry_space_group_name_Hall '-P 4 2ab'
loop_
_atom_site_label
_atom_site_type_symbol
_atom_site_fract_x
_atom_site_fract_y
_atom_site_fract_z
_atom_site_occupancy
Ir1 Ir 0.000 0.000 0.000 1
Pt1 Pt 0.139 0.361 0.000 1
Rh1 Rh 0.159 0.659 0.500 1
```

***

d:
IrPt2Rh2 | PBE | optimized geometry

Geometry as CIF:
```
data_IrPt2Rh2
_cell_length_a 3.5265
_cell_length_b 3.5265
_cell_length_c 23.9767
_cell_angle_alpha 90.00
_cell_angle_beta 90.00
_cell_angle_gamma 120.00
_symmetry_space_group_name_H-M 'R -3 m'
_symmetry_Int_Tables_number 166
_symmetry_space_group_name_Hall '-R 3 2"'
loop_
_atom_site_label
_atom_site_type_symbol
_atom_site_fract_x
_atom_site_fract_y
_atom_site_fract_z
_atom_site_occupancy
Ir1 Ir 0.0000 0.0000 0.0000 1
Pt1 Pt 0.0000 0.0000 0.2023 1
Rh1 Rh 0.0000 0.0000 0.3941 1
```

***

Which structure is most stable? b, by 0.459 eV/atom over the runner-up.

***

a:
IrPt4Rh | PBE | optimized geometry

Geometry as CIF:
```
data_IrPt4Rh
_cell_length_a 11.209
_cell_length_b 3.916
_cell_length_c 8.318
_cell_angle_alpha 90.00
_cell_angle_beta 90.00
_cell_angle_gamma 90.00
_symmetry_space_group_name_H-M 'P n m a'
_symmetry_Int_Tables_number 62
_symmetry_space_group_name_Hall '-P 2ac 2n'
loop_
_atom_site_label
_atom_site_type_symbol
_atom_site_fract_x
_atom_site_fract_y
_atom_site_fract_z
_atom_site_occupancy
Ir1 Ir 0.189 0.250 0.083 1
Pt1 Pt 0.062 0.750 0.251 1
Pt2 Pt 0.063 0.750 0.917 1
Pt3 Pt 0.186 0.250 0.418 1
Pt4 Pt 0.188 0.250 0.748 1
Rh1 Rh 0.063 0.750 0.581 1
```

***

b:
IrPt4Rh | PBE | optimized geometry

Geometry as CIF:
```
data_IrPt4Rh
_cell_length_a 7.344
_cell_length_b 7.344
_cell_length_c 7.344
_cell_angle_alpha 90.00
_cell_angle_beta 90.00
_cell_angle_gamma 90.00
_symmetry_space_group_name_H-M 'F -4 3 m'
_symmetry_Int_Tables_number 216
_symmetry_space_group_name_Hall 'F -4 2 3'
loop_
_atom_site_label
_atom_site_type_symbol
_atom_site_fract_x
_atom_site_fract_y
_atom_site_fract_z
_atom_site_occupancy
Ir1 Ir 0.000 0.000 0.000 1
Pt1 Pt 0.125 0.125 0.625 1
Rh1 Rh 0.250 0.250 0.250 1
```

***

Which structure is most stable? a, by 0.463 eV/atom over the runner-up.